# Na2TmMoO4 PBE with a Hubbard U relaxed
data_Na2TmMoO4
_chemical_formula_sum 'Na2 Tm1 Mo1 O4'
_symmetry_space_group_name_H-M 'P 1 2/m 1'
_symmetry_Int_Tables_number 10
_cell_length_a 5.6568
_cell_length_b 3.3259
_cell_length_c 5.8506
_cell_angle_alpha 90.00
_cell_angle_beta 109.00
_cell_angle_gamma 90.00
loop_
_symmetry_equiv_pos_as_xyz
'x,y,z'
'-x,-y,-z'
'-x,y,-z'
'x,-y,z'
loop_
_atom_site_label
_atom_site_fract_x
_atom_site_fract_y
_atom_site_fract_z
Na1 0.0000 0.0000 0.0000
Na2 0.5000 0.5000 0.0000
Tm1 0.0000 0.5000 0.5000
Mo1 0.5000 0.0000 0.5000
O1 0.2391 0.0000 0.7117
O2 0.2706 0.5000 0.2909
# E: -6.5337 eV per atom